Density functional theory data (PBE-GGA) for a relaxed Gd2SnGe crystal.

Lattice parameters (Å, degrees): 4.026 4.026 8.443 76.21 76.21 60.00
Sites, in units of the cell vectors:
Ge1 0.000 0.000 0.000
Gd1 0.740 0.740 0.781
Gd2 0.260 0.260 0.219
Sn1 0.500 0.500 0.500

* energy of formation: -2.4 eV/f.u.
* space group: R-3m, No. 166

Density functional theory data (PBE-GGA) for a relaxed AlSiTe2 crystal.

Lattice parameters (Å, degrees): 4.056 3.008 8.785 109.84 90.00 90.00
Sites, in units of the cell vectors:
Si1 0.500 0.750 0.750
Te1 0.000 0.987 0.993
Te2 0.000 0.513 0.507
Al1 0.500 0.250 0.250

* energy relative to the elements, uncorrected: 192.0 meV/atom
* E above lowest polymorph: 0.258 eV/atom
* space group: P2/m, No. 10

Density functional theory data (PBE-GGA) for a relaxed Cs3SBr crystal.

Lattice parameters (Å, degrees): 6.666 6.666 6.666 90.00 90.00 90.00
Sites, in units of the cell vectors:
Cs1 0.000 0.500 0.000
Cs2 0.000 0.000 0.500
Cs3 0.500 0.000 0.000
S1 0.000 0.000 0.000
Br1 0.500 0.500 0.500

* energy relative to the elements, uncorrected: -1176.9 meV/atom
* space group: Pm-3m, No. 221